This record from the Alexandria database describes an optimized crystal structure of AcThPaN3. The functional is PBE-GGA.

a b c (Å): 3.686 6.324 9.430
angles (deg): 101.84 90.00 90.00
Element x y z (fractional)
1 Ac 0.750 0.645 0.688
2 Ac 0.250 0.355 0.312
3 Th 0.250 0.761 0.044
4 Th 0.750 0.239 0.956
5 Pa 0.250 0.132 0.646
6 Pa 0.750 0.868 0.354
7 N 0.250 0.772 0.488
8 N 0.750 0.034 0.156
9 N 0.750 0.559 0.158
10 N 0.750 0.228 0.512
11 N 0.250 0.441 0.842
12 N 0.250 0.966 0.844

## Properties
- energy relative to the elements, uncorrected (eV per atom) = -1.342
- DOS(E_F) (states/eV per atom) = 0.416

This record from the Alexandria database describes an optimized crystal structure of ZnMoBr2. The functional is PBE-GGA.

a b c (Å): 4.337 7.189 5.706
angles (deg): 35.98 90.00 90.00
Each line ends with the local moment (μB).
Element x y z (fractional)
1 Br 0.000 0.000 0.000  0.02
2 Br 0.500 0.500 0.000  0.01
3 Mo 0.500 0.500 0.500  3.69
4 Zn 0.000 0.000 0.500  -0.04

## Properties
- E above lowest polymorph (meV per atom) = 606
- energy relative to the elements, uncorrected (eV per atom) = 0.584
- DOS(E_F) (states/eV per atom) = 0.454

This record from the Alexandria database describes an optimized crystal structure of AcTb7Pm2. The functional is PBE-GGA.

a b c (Å): 3.596 10.358 10.358
angles (deg): 110.08 90.00 90.00
Element x y z (fractional)
1 Ac 0.000 0.000 0.000
2 Tb 0.000 0.669 0.331
3 Tb 0.000 0.331 0.669
4 Tb 0.500 0.126 0.395
5 Tb 0.500 0.874 0.605
6 Tb 0.500 0.395 0.126
7 Tb 0.500 0.605 0.874
8 Tb 0.500 0.500 0.500
9 Pm 0.500 0.820 0.180
10 Pm 0.500 0.180 0.820

## Properties
- E above lowest polymorph (meV per atom) = 0
- DOS(E_F) (states/eV per atom) = 1.665

This record from the Alexandria database describes an optimized crystal structure of PmZn2Au9. The functional is PBE-GGA.

a b c (Å): 7.148 8.776 8.776
angles (deg): 80.45 65.97 65.97
Element x y z (fractional)
1 Pm 0.500 0.000 0.000
2 Pm 0.250 0.500 0.500
3 Zn 0.875 0.250 0.750
4 Zn 0.875 0.750 0.250
5 Zn 0.875 0.250 0.250
6 Zn 0.375 0.750 0.750
7 Au 0.750 0.500 0.500
8 Au 0.000 0.000 0.000
9 Au 0.990 0.929 0.686
10 Au 0.605 0.071 0.314
11 Au 0.669 0.186 0.571
12 Au 0.426 0.814 0.429
13 Au 0.760 0.814 0.571
14 Au 0.145 0.186 0.429
15 Au 0.081 0.929 0.314
16 Au 0.324 0.071 0.686
17 Au 0.760 0.571 0.814
18 Au 0.145 0.429 0.186
19 Au 0.081 0.314 0.929
20 Au 0.324 0.686 0.071
21 Au 0.990 0.686 0.929
22 Au 0.605 0.314 0.071
23 Au 0.669 0.571 0.186
24 Au 0.426 0.429 0.814

## Properties
- total energy (eV per cell) = -80.03
- DOS(E_F) (states/eV per atom) = 0.406

This record from the Alexandria database describes an optimized crystal structure of Th6Tc2Bi. The functional is PBE-GGA.

a b c (Å): 4.966 6.103 9.443
angles (deg): 94.04 90.00 114.01
Element x y z (fractional)
1 Th 0.085 0.170 0.859
2 Th 0.603 0.206 0.161
3 Th 0.397 0.794 0.839
4 Th 0.705 0.409 0.618
5 Th 0.295 0.591 0.382
6 Th 0.915 0.830 0.141
7 Tc 0.740 0.480 0.889
8 Tc 0.260 0.520 0.111
9 Bi 0.000 0.000 0.500

## Properties
- E above lowest polymorph (meV per atom) = 0
- DOS(E_F) (states/eV per atom) = 1.001

This record from the Alexandria database describes an optimized crystal structure of PrSm2PaP4. The functional is PBE-GGA.

a b c (Å): 5.774 5.774 7.080
angles (deg): 114.06 114.06 90.02
Element x y z (fractional)
1 Pr 0.500 0.500 0.000
2 Sm 0.250 0.750 0.500
3 Sm 0.000 0.000 0.000
4 Pa 0.750 0.250 0.500
5 P 0.990 0.490 0.979
6 P 0.510 0.010 0.021
7 P 0.752 0.752 0.504
8 P 0.248 0.248 0.496

## Properties
- total energy (eV per cell) = -57.32
- DOS(E_F) (states/eV per atom) = 0.381

This record from the Alexandria database describes an optimized crystal structure of HoZn2Hg. The functional is PBE-GGA.

a b c (Å): 4.798 4.798 4.798
angles (deg): 60.00 60.00 60.00
Element x y z (fractional)
1 Zn 0.250 0.250 0.250
2 Zn 0.750 0.750 0.750
3 Hg 0.000 0.000 0.000
4 Ho 0.500 0.500 0.500

## Properties
- E above lowest polymorph (meV per atom) = 43
- DOS(E_F) (states/eV per atom) = 0.775

This record from the Alexandria database describes an optimized crystal structure of Ba2LaP. The functional is PBE-GGA.

a b c (Å): 6.745 6.745 6.745
angles (deg): 138.21 138.21 60.57
Element x y z (fractional)
1 Ba 0.000 0.000 0.000
2 Ba 0.500 0.500 0.000
3 La 0.250 0.750 0.500
4 P 0.750 0.250 0.500

## Properties
- total energy (eV per cell) = -14.71
- DOS(E_F) (states/eV per atom) = 1.121

This record from the Alexandria database describes an optimized crystal structure of HoNpGa. The functional is PBE-GGA.

a b c (Å): 3.521 5.060 8.668
angles (deg): 78.36 90.00 110.36
Each line ends with the local moment (μB).
Element x y z (fractional)
1 Ho 0.166 0.333 0.870  0.04
2 Ho 0.834 0.667 0.130  0.04
3 Np 0.338 0.675 0.456  1.65
4 Np 0.662 0.325 0.544  1.65
5 Ga 0.091 0.182 0.274  -0.01
6 Ga 0.909 0.818 0.726  -0.01

## Properties
- total energy (eV per cell) = -41.85
- DOS(E_F) (states/eV per atom) = 1.523

This record from the Alexandria database describes an optimized crystal structure of LaDy6Er4. The functional is PBE-GGA.

a b c (Å): 5.717 5.593 25.644
angles (deg): 90.00 90.00 120.74
Element x y z (fractional)
1 La 0.808 0.615 0.250
2 La 0.192 0.385 0.750
3 Dy 0.500 0.000 0.000
4 Dy 0.500 0.000 0.500
5 Dy 0.137 0.275 0.320
6 Dy 0.863 0.725 0.680
7 Dy 0.863 0.725 0.820
8 Dy 0.137 0.275 0.180
9 Dy 0.807 0.614 0.400
10 Dy 0.193 0.386 0.600
11 Dy 0.193 0.386 0.900
12 Dy 0.807 0.614 0.100
13 Dy 0.472 0.945 0.250
14 Dy 0.528 0.055 0.750
15 Er 0.844 0.688 0.542
16 Er 0.467 0.934 0.122
17 Er 0.156 0.312 0.458
18 Er 0.533 0.066 0.878
19 Er 0.844 0.688 0.958
20 Er 0.156 0.312 0.042
21 Er 0.533 0.066 0.622
22 Er 0.467 0.934 0.378

## Properties
- E above lowest polymorph (meV per atom) = 0
- DOS(E_F) (states/eV per atom) = 1.848

This record from the Alexandria database describes an optimized crystal structure of Dy6Tl3Pt. The functional is PBE-GGA.

a b c (Å): 5.208 9.026 11.829
angles (deg): 90.00 90.00 90.00
Element x y z (fractional)
1 Dy 0.500 0.157 0.917
2 Dy 0.500 0.186 0.587
3 Dy 0.500 0.488 0.262
4 Dy 0.500 0.512 0.738
5 Dy 0.500 0.814 0.413
6 Dy 0.500 0.843 0.083
7 Dy 0.000 0.343 0.417
8 Dy 0.000 0.314 0.087
9 Dy 0.000 0.012 0.762
10 Dy 0.000 0.988 0.238
11 Dy 0.000 0.686 0.913
12 Dy 0.000 0.657 0.583
13 Tl 0.500 0.846 0.734
14 Tl 0.500 0.500 0.000
15 Tl 0.500 0.154 0.266
16 Tl 0.000 0.654 0.234
17 Tl 0.000 0.000 0.500
18 Tl 0.000 0.346 0.766
19 Pt 0.500 0.500 0.500
20 Pt 0.000 0.000 0.000

## Properties
- total energy (eV per cell) = -90.46
- DOS(E_F) (states/eV per atom) = 0.829

This record from the Alexandria database describes an optimized crystal structure of AcDyGe2. The functional is PBE-GGA.

a b c (Å): 3.900 3.900 6.762
angles (deg): 90.00 90.00 90.00
Element x y z (fractional)
1 Ac 0.500 0.500 0.000
2 Ge 0.000 0.000 0.699
3 Ge 0.000 0.000 0.301
4 Dy 0.500 0.500 0.500

## Properties
- total energy (eV per cell) = -20.48
- DOS(E_F) (states/eV per atom) = 0.782